The following is a PBE-GGA calculation of an optimized crystal structure of Pm2NiGe4, from the Alexandria database.

Total DFT energy (no corrections) in eV per atom: -5.308
DFT formation energy in eV per atom: -0.486
Calculated density in g/cm3: 6.8

Lattice parameters (Å, degrees): 6.181 6.174 5.828 61.92 61.79 56.29
Element x y z (fractional)
Pm: 0.000 0.000 0.500
Pm: 0.500 0.500 0.000
Ni: 0.186 0.186 0.814
Ge: 0.529 0.978 0.022
Ge: 0.531 0.978 0.469
Ge: 0.978 0.529 0.471
Ge: 0.978 0.531 0.022

The following is a PBE-GGA calculation of an optimized crystal structure of U2AlNi12P3, from the Alexandria database.

Total DFT energy (no corrections) in eV per atom: -6.258
DFT formation energy in eV per atom: -0.040
Calculated density in g/cm3: 8.2

Lattice parameters (Å, degrees): 7.012 7.012 7.012 63.54 63.54 63.54
Element x y z (fractional)
U: 0.112 0.112 0.112
U: 0.888 0.888 0.888
Al: 0.500 0.500 0.500
Ni: 0.106 0.645 0.645
Ni: 0.138 0.138 0.614
Ni: 0.138 0.614 0.138
Ni: 0.355 0.355 0.894
Ni: 0.355 0.894 0.355
Ni: 0.386 0.862 0.862
Ni: 0.614 0.138 0.138
Ni: 0.645 0.106 0.645
Ni: 0.645 0.645 0.106
Ni: 0.862 0.386 0.862
Ni: 0.862 0.862 0.386
Ni: 0.894 0.355 0.355
P: 0.000 0.500 0.500
P: 0.500 0.000 0.500
P: 0.500 0.500 0.000

The following is a PBE-GGA calculation of an optimized crystal structure of Ac4La3MoN8, from the Alexandria database.

Total DFT energy (no corrections) in eV per atom: -7.735
Calculated density in g/cm3: 8.9
Uncorrected formation energy in meV per atom: -945

Lattice parameters (Å, degrees): 7.426 7.426 7.426 59.61 59.61 59.61
Element x y z (fractional)
Ac: 0.000 0.000 0.000
Ac: 0.000 0.500 0.500
Ac: 0.500 0.000 0.500
Ac: 0.500 0.500 0.000
La: 0.000 0.000 0.500
La: 0.000 0.500 0.000
La: 0.500 0.000 0.000
Mo: 0.500 0.500 0.500
N: 0.245 0.245 0.245
N: 0.279 0.716 0.716
N: 0.284 0.284 0.721
N: 0.284 0.721 0.284
N: 0.716 0.279 0.716
N: 0.716 0.716 0.279
N: 0.721 0.284 0.284
N: 0.755 0.755 0.755

The following is a PBE-GGA calculation of an optimized crystal structure of In2SiAu8, from the Alexandria database.

Total DFT energy (no corrections) in eV per atom: -3.431
Calculated density in g/cm3: 14.1
Uncorrected formation energy in meV per atom: -57

Lattice parameters (Å, degrees): 8.662 8.662 5.270 99.21 99.21 141.38
Element x y z (fractional)
In: 0.172 0.828 0.000
In: 0.828 0.172 0.000
Si: 0.509 0.509 0.898
Au: 0.046 0.243 0.568
Au: 0.229 0.693 0.536
Au: 0.243 0.046 0.568
Au: 0.379 0.379 0.303
Au: 0.448 0.729 0.147
Au: 0.693 0.229 0.536
Au: 0.729 0.448 0.147
Au: 0.880 0.880 0.800

The following is a PBE-GGA calculation of an optimized crystal structure of TaNbNO2, from the Alexandria database.

Total DFT energy (no corrections) in eV per atom: -8.594
Calculated density in g/cm3: 8.2
Uncorrected formation energy in meV per atom: -561

Lattice parameters (Å, degrees): 3.926 3.926 4.184 90.00 90.00 90.00
Element x y z (fractional)
Ta: 0.000 0.000 0.000
Nb: 0.500 0.500 0.500
N: 0.500 0.500 0.000
O: 0.000 0.500 0.500
O: 0.500 0.000 0.500

Question: Among the records above, which one has the highest calculated density?
Answer: In2SiAu8

Question: Which formula does entry 4 have?
Answer: In2SiAu8

Question: What is the total DFT energy (no corrections) in the first record?
Answer: -5.308 eV per atom